(1)
The following is a PBE calculation of a relaxed structure of CePu2Sc3Se6, from the Alexandria database.

Structure (POSCAR):
```
CePu2Sc3Se6
1.0
3.442 -5.965 0.000
3.442 5.965 0.000
-2.296 0.000 6.704
Ce Pu Sc Se
1 2 3 6
direct
0.000 0.000 0.000
0.333 0.667 0.000
0.667 0.333 0.000
0.167 0.833 0.500
0.500 0.500 0.500
0.833 0.167 0.500
0.091 0.427 0.272
0.245 0.245 0.727
0.427 0.091 0.272
0.573 0.909 0.728
0.755 0.755 0.273
0.909 0.573 0.728
```

The value obtained for the formation energy from raw total energies is -1.620 eV per atom. The calculation puts the density of states at the Fermi level at 1.906 states/eV/atom. The crystal system is monoclinic. The space group is C2/m.

(2)
The following is a PBE calculation of a relaxed structure of HoSbRh3, from the Alexandria database.

Structure (POSCAR):
```
HoSbRh3
1.0
-2.764 3.819 4.438
2.764 -3.819 4.438
2.764 3.819 -4.438
Ho Sb Rh
2 2 6
direct
0.264 0.014 0.250
0.736 0.986 0.750
0.000 0.500 0.500
0.500 0.500 0.000
0.049 0.299 0.750
0.306 0.000 0.806
0.306 0.500 0.306
0.694 0.000 0.194
0.694 0.500 0.694
0.951 0.701 0.250
```

The value obtained for the formation energy from raw total energies is -0.571 eV per atom. The calculation puts the density of states at the Fermi level at 0.407 states/eV/atom. The crystal system is orthorhombic. The space group is Imma.

(3)
The following is a PBE calculation of a relaxed structure of Pr3Nd2Tm7, from the Alexandria database.

Structure (POSCAR):
```
Pr3Nd2Tm7
1.0
5.820 0.000 0.000
0.000 3.583 0.000
-1.038 0.000 18.853
Pr Nd Tm
3 2 7
direct
0.000 0.000 0.000
0.275 0.500 0.631
0.725 0.500 0.369
0.211 0.000 0.290
0.789 0.000 0.710
0.192 0.500 0.142
0.243 0.000 0.461
0.306 0.000 0.829
0.500 0.500 0.000
0.694 0.000 0.171
0.757 0.000 0.539
0.808 0.500 0.858
```

The calculation puts the density of states at the Fermi level at 1.166 states/eV/atom. The calculation puts the formation energy at 1.1 eV/f.u. The crystal system is monoclinic. The space group is P2/m.

Sequential density output: 7.5, 10.6, 8.0 g cm⁻³